Record 1
The following is a PBE calculation of a relaxed TcSb crystal, from the Alexandria database.

Formation energy (no corrections) in kJ/mol of formula units: 36
SG: P2_1/m
Crystal system: monoclinic

a = 4.609 Å, b = 5.596 Å, c = 4.952 Å
α = 90.00°, β = 90.00°, γ = 145.36°
Fractional positions:
Tc  0.359  0.249  0.750
Sb  0.623  0.250  0.250
Sb  0.377  0.750  0.750
Tc  0.641  0.751  0.250



Record 2
The following is a PBE calculation of a relaxed Sc2CoRu2 crystal, from the Alexandria database.

Formation enthalpy at 0 K in meV/atom: 152.9
SG: I4/mmm
Crystal system: tetragonal

a = 3.422 Å, b = 3.422 Å, c = 8.054 Å
α = 77.74°, β = 77.74°, γ = 90.00°
Fractional positions:
Co  0.000  0.000  0.000
Sc  0.597  0.597  0.806
Sc  0.403  0.403  0.194
Ru  0.250  0.750  0.500
Ru  0.750  0.250  0.500



Record 3
The following is a PBE calculation of a relaxed CaEr2Ga3 crystal, from the Alexandria database.

Formation enthalpy at 0 K in meV/atom: -526.6
SG: P4/mmm
Crystal system: tetragonal

a = 3.570 Å, b = 3.570 Å, c = 10.867 Å
α = 90.00°, β = 90.00°, γ = 90.00°
Fractional positions:
Ga  0.000  0.000  0.000
Ca  0.500  0.500  0.500
Ga  0.000  0.000  0.323
Er  0.500  0.500  0.164
Er  0.500  0.500  0.836
Ga  0.000  0.000  0.677



Record 4
The following is a PBE calculation of a relaxed Tl3GaTe3 crystal, from the Alexandria database.

Formation energy (no corrections) in kJ/mol of formula units: -210
SG: C2/m
Crystal system: monoclinic

a = 8.533 Å, b = 8.533 Å, c = 8.007 Å
α = 95.92°, β = 95.92°, γ = 112.11°
Fractional positions:
Te  0.457  0.151  0.287
Ga  0.175  0.175  0.153
Tl  0.765  0.235  0.000
Tl  0.172  0.828  0.500
Te  0.849  0.543  0.713
Tl  0.235  0.765  0.000
Ga  0.825  0.825  0.847
Te  0.543  0.849  0.713
Tl  0.397  0.397  0.644
Tl  0.828  0.172  0.500
Te  0.103  0.103  0.810
Tl  0.603  0.603  0.356
Te  0.897  0.897  0.190
Te  0.151  0.457  0.287